Model P:
Compound: CaNdAl
Source: the Alexandria database
Functional: PBE
Structure: relaxed

Cell lengths 7.330, 7.330, 7.330 Å; angles 151.20, 151.20, 41.18 degrees
Fractional coordinates of all 3 atoms:
Ca1 0.000 0.000 0.000
Nd1 0.723 0.723 0.000
Al1 0.356 0.356 0.000

Properties
mass density = 3.848 Mg/m³
spin magnetization = 0.000 μB/f.u.
space group = I4mm (107)

***

Model Q:
Compound: CaNdAl
Source: the Alexandria database
Functional: PBE
Structure: relaxed

Cell lengths 5.405, 5.405, 6.833 Å; angles 90.00, 90.00, 120.00 degrees
Fractional coordinates of all 6 atoms:
Ca1 0.000 0.000 0.000
Ca2 0.000 0.000 0.500
Nd1 0.333 0.667 0.250
Nd2 0.667 0.333 0.750
Al1 0.333 0.667 0.750
Al2 0.667 0.333 0.250

Properties
mass density = 4.060 Mg/m³
spin magnetization = 0.000 μB/f.u.
space group = P6_3/mmc (194)

***

Most stable pick: model Q. Distance to second place: 90 meV/atom.